[1]
Material: UAg7S6
Method: DFT, PBE
State: relaxed

- energy relative to the elements, uncorrected (eV per atom) = -0.34

Lattice parameters (Å, degrees): 7.3530 7.3530 19.2068 90.00 90.00 120.00
Space group R3 (No. 146, hexagonal axes)
Symmetry-distinct sites (fractional):
U (0.0000, 0.0000, 0.0000)
Ag (0.0000, 0.0000, 0.3536)
Ag (0.0082, 0.2582, 0.2277)
Ag (0.1187, 0.6942, 0.3955)
S (0.0329, 0.2994, 0.0903)
S (0.0549, 0.7076, 0.5928)


[2]
Material: UAg4S5
Method: DFT, PBE
State: relaxed

- energy relative to the elements, uncorrected (eV per atom) = -0.45

Lattice parameters (Å, degrees): 8.6566 8.6566 5.3462 90.00 90.00 90.00
Space group I4/m (No. 87)
Symmetry-distinct sites (fractional):
U (0.0000, 0.0000, 0.0000)
Ag (0.1076, 0.2870, 0.5000)
S (0.0000, 0.0000, 0.5000)
S (0.0754, 0.2925, 0.0000)


[3]
Material: UAgS3
Method: DFT, PBE
State: relaxed

- energy relative to the elements, uncorrected (eV per atom) = -0.83
- ΔE to the lowest computed polymorph (eV per atom) = 0.000

Lattice parameters (Å, degrees): 9.5378 3.9624 13.9140 90.00 90.00 90.00
Space group Pnma (No. 62)
Symmetry-distinct sites (fractional):
U (0.1847, 0.2500, 0.0236)
Ag (0.0368, 0.2500, 0.5857)
S (0.0317, 0.7500, 0.1008)
S (0.1611, 0.7500, 0.6667)
S (0.1935, 0.2500, 0.4269)


[4]
Material: UAgS3
Method: DFT, PBE
State: relaxed

- energy relative to the elements, uncorrected (eV per atom) = -0.82
- ΔE to the lowest computed polymorph (eV per atom) = 0.004

Lattice parameters (Å, degrees): 6.5466 6.9001 10.8875 90.00 116.44 90.00
Space group P2_1/c (No. 14)
Symmetry-distinct sites (fractional):
U (0.1655, 0.1245, 0.1965)
Ag (0.1724, 0.6238, 0.1309)
S (0.1595, 0.1346, 0.9444)
S (0.1690, 0.6218, 0.8887)
S (0.4878, 0.1161, 0.7631)


[5]
Material: UAgS2
Method: DFT, PBE
State: relaxed

- energy relative to the elements, uncorrected (eV per atom) = -0.81

Lattice parameters (Å, degrees): 4.0579 4.0579 18.0329 90.00 90.00 120.00
Space group R-3m (No. 166, hexagonal axes)
Symmetry-distinct sites (fractional):
U (0.0000, 0.0000, 0.0000)
Ag (0.0000, 0.0000, 0.5000)
S (0.0000, 0.0000, 0.2524)


[6]
Material: U2Ag2S7
Method: DFT, PBE
State: relaxed

- energy relative to the elements, uncorrected (eV per atom) = -0.64

Lattice parameters (Å, degrees): 4.0018 14.3822 8.0009 90.00 90.00 90.00
Space group Imm2 (No. 44)
Symmetry-distinct sites (fractional):
U (0.0000, 0.0000, 0.0000)
U (0.0000, 0.5000, 0.0476)
Ag (0.0000, 0.2628, 0.7817)
S (0.0000, 0.1119, 0.5097)
S (0.0000, 0.1793, 0.0891)
S (0.0000, 0.4025, 0.3330)
S (0.0000, 0.5000, 0.7143)


| no. | volume (Å³/f.u.) |
| --- | --- |
| 1 | 299.8 |
| 2 | 200.3 |
| 3 | 131.5 |
| 4 | 110.1 |
| 5 | 85.7 |
| 6 | 230.2 |